This record from Alexandria describes an optimized crystal structure of LuFeSnRh. The functional is PBE.

Cell and atoms, written as POSCAR:
```
LuFeSnRh
1.0
0.000 3.224 3.224
3.224 0.000 3.224
3.224 3.224 0.000
Lu Fe Sn Rh
1 1 1 1
direct
0.000 0.000 0.000
0.250 0.250 0.250
0.500 0.500 0.500
0.750 0.750 0.750
```

Computed properties:
Energy = -6.542 eV per atom
Calculated formation energy = -0.4570 eV per atom
Calculated volume = 67.0 Å³ per cell
SG = No. 216

This record from Alexandria describes an optimized crystal structure of LuThFeRh. The functional is PBE.

Cell and atoms, written as POSCAR:
```
LuThFeRh
1.0
0.000 3.431 3.431
3.431 0.000 3.431
3.431 3.431 0.000
Lu Th Fe Rh
1 1 1 1
direct
0.000 0.000 0.000
0.500 0.500 0.500
0.750 0.750 0.750
0.250 0.250 0.250
```

Computed properties:
Energy = -7.322 eV per atom
Calculated formation energy = -0.3836 eV per atom
Calculated volume = 80.8 Å³ per cell
SG = No. 216

This record from Alexandria describes an optimized crystal structure of LuTiFeRh. The functional is PBE.

Cell and atoms, written as POSCAR:
```
LuTiFeRh
1.0
0.000 3.170 3.170
3.170 0.000 3.170
3.170 3.170 0.000
Lu Ti Fe Rh
1 1 1 1
direct
0.000 0.000 0.000
0.500 0.500 0.500
0.250 0.250 0.250
0.750 0.750 0.750
```

Computed properties:
Energy = -7.500 eV per atom
Calculated formation energy = -0.4420 eV per atom
Calculated volume = 63.7 Å³ per cell
SG = No. 216

This record from Alexandria describes an optimized crystal structure of LuZrFeRh. The functional is PBE.

Cell and atoms, written as POSCAR:
```
LuZrFeRh
1.0
0.000 3.270 3.270
3.270 0.000 3.270
3.270 3.270 0.000
Lu Zr Fe Rh
1 1 1 1
direct
0.000 0.000 0.000
0.500 0.500 0.500
0.250 0.250 0.250
0.750 0.750 0.750
```

Computed properties:
Energy = -7.689 eV per atom
Calculated formation energy = -0.4677 eV per atom
Calculated volume = 69.9 Å³ per cell
SG = No. 216

This record from Alexandria describes an optimized crystal structure of LuFeRu2. The functional is PBE.

Cell and atoms, written as POSCAR:
```
LuFeRu2
1.0
3.143 0.000 0.000
0.000 3.143 0.000
0.000 0.000 6.436
Lu Fe Ru
1 1 2
direct
0.000 0.000 0.000
0.000 0.000 0.500
0.500 0.500 0.285
0.500 0.500 0.715
```

Computed properties:
Energy = -7.946 eV per atom
Calculated formation energy = -0.0621 eV per atom
Calculated volume = 63.6 Å³ per cell
SG = No. 123
Energy above the most stable polymorph in this dataset = 0 meV per atom

This record from Alexandria describes an optimized crystal structure of LuFe4Ru. The functional is PBE.

Cell and atoms, written as POSCAR:
```
LuFe4Ru
1.0
0.000 3.478 3.478
3.478 0.000 3.478
3.478 3.478 0.000
Lu Fe Ru
1 4 1
direct
0.000 0.000 0.000
0.126 0.625 0.625
0.625 0.126 0.625
0.625 0.625 0.126
0.625 0.625 0.625
0.250 0.250 0.250
```

Computed properties:
Energy = -7.986 eV per atom
Calculated formation energy = -0.0450 eV per atom
Calculated volume = 84.1 Å³ per cell
SG = No. 216

This record from Alexandria describes an optimized crystal structure of LuFeRu2. The functional is PBE.

Cell and atoms, written as POSCAR:
```
LuFeRu2
1.0
4.420 0.000 0.000
0.000 4.420 0.000
0.000 0.000 3.217
Lu Fe Ru
1 1 2
direct
0.000 0.000 0.000
0.500 0.500 0.000
0.000 0.500 0.500
0.500 0.000 0.500
```

Computed properties:
Energy = -7.933 eV per atom
Calculated formation energy = -0.0496 eV per atom
Calculated volume = 62.9 Å³ per cell
SG = No. 123
Energy above the most stable polymorph in this dataset = 12 meV per atom

This record from Alexandria describes an optimized crystal structure of Lu2FeRu. The functional is PBE.

Cell and atoms, written as POSCAR:
```
Lu2FeRu
1.0
3.355 0.000 0.000
0.000 3.355 0.000
0.000 0.000 6.608
Lu Fe Ru
2 1 1
direct
0.000 0.000 0.246
0.000 0.000 0.754
0.500 0.500 0.500
0.500 0.500 0.000
```

Computed properties:
Energy = -6.912 eV per atom
Calculated formation energy = -0.2167 eV per atom
Calculated volume = 74.4 Å³ per cell
SG = No. 123